1.
Below is crystalline Ca3Ac3Tl2Zn at its relaxed geometry, with properties calculated at the GGA-PBE level.

abc: 4.208 9.340 9.340
angles: 120.00 90.00 90.00
Fractional positions:
Ca 0.000 0.595 0.595
Ca 0.000 0.000 0.405
Ca 0.000 0.405 0.000
Ac 0.500 0.744 0.000
Ac 0.500 0.000 0.744
Ac 0.500 0.256 0.256
Tl 0.500 0.667 0.333
Tl 0.500 0.333 0.667
Zn 0.000 0.000 0.000

2.
Below is crystalline CaAc2Tm at its relaxed geometry, with properties calculated at the GGA-PBE level.

Summary:
The calculation puts the energy above the most stable polymorph in this dataset at 227 meV/atom.

abc: 3.725 3.725 13.679
angles: 82.17 82.17 60.00
Fractional positions:
Ac 0.084 0.084 0.748
Ac 0.916 0.916 0.252
Tm 0.000 0.000 0.000
Ca 0.500 0.500 0.500

no.,theoretical density (g/cm3),calculated formation energy (eV/atom)
1,6.7,-0.225
2,6.8,0.284